# PrTmS3

An optimized crystal structure of PrTmS3 (GGA-PBEsol, Alexandria).

POSCAR file:
```
PrTmS3
1.0
-2.6740 -1.2887 -2.5530
2.1680 -10.2436 2.9001
-15.4806 5.1773 13.6009
Pr Tm S
8 8 24
Cartesian
-3.6438 -2.2294 3.4408
-12.3428 -4.1256 10.5072
-0.7936 -8.9451 3.8456
-15.1929 2.5901 10.1024
-3.2810 -6.0425 4.9856
-12.7056 -0.3125 8.9624
-6.1056 -6.0895 7.9679
-9.8810 -0.2654 5.9802
-8.4987 -2.9725 8.9010
-7.4878 -3.3824 5.0470
-8.5945 -6.9125 10.9902
-7.3920 0.5576 2.9578
-13.6518 -3.7839 14.7079
-2.3348 -2.5710 -0.7598
-13.7611 -0.4915 13.1604
-2.2254 -5.8634 0.7876
-15.4047 3.8044 12.7134
-0.5819 -10.1594 1.2347
-10.0560 0.8510 8.6020
-5.9306 -7.2060 5.3461
-9.5151 -4.4768 10.7249
-6.4714 -1.8781 3.2231
0.1657 -6.6764 1.6956
-16.1523 0.3214 12.2525
-11.6649 -1.4474 11.4474
-4.3217 -4.9076 2.5007
-12.9263 1.3827 11.3399
-3.0603 -7.7376 2.6081
-11.7217 -4.9432 13.2716
-4.2648 -1.4118 0.6765
-7.4085 -1.4546 6.9928
-8.5781 -4.9004 6.9552
-7.4333 1.3859 5.5849
-8.5533 -7.7409 8.3631
-2.7749 -8.7947 5.8448
-13.2117 2.4397 8.1032
-5.1256 -4.0106 5.8921
-10.8609 -2.3443 8.0560
-1.4594 -3.3256 1.7063
-14.5272 -3.0294 12.2418
```


# Pr4Tm11S22

An optimized crystal structure of Pr4Tm11S22 (GGA-PBEsol, Alexandria).

POSCAR file:
```
Pr4Tm11S22
1.0
-1.9186 -0.8777 -3.2517
-0.5952 -10.6794 3.2339
-15.6482 4.5708 10.3095
Pr Tm S
4 11 22
Cartesian
-14.6783 -7.7135 8.4325
-3.4837 0.7271 1.8592
-5.7387 -6.2698 2.7681
-12.4234 -0.7166 7.5236
-7.2847 -8.3736 6.5585
-10.8774 1.3872 3.7332
-2.6614 -7.9324 1.4012
-15.5006 0.9460 8.8906
-11.7717 -4.6540 8.2020
-6.3903 -2.3324 2.0897
-9.1846 -5.4072 4.5684
-8.9775 -1.5792 5.7233
-15.6027 -3.7272 7.9019
-2.5593 -3.2593 2.3898
0.0000 0.0000 0.0000
-14.8178 0.3592 6.3357
-3.3443 -7.3456 3.9561
-11.4767 -1.1727 4.7778
-6.6853 -5.8138 5.5139
-8.5095 -3.0027 3.5210
-9.6526 -3.9837 6.7707
-3.1831 -5.4050 1.0267
-14.9790 -1.5814 9.2650
-13.3779 -3.2974 6.4732
-4.7841 -3.6890 3.8186
-13.9943 -5.0485 9.6199
-4.1677 -1.9379 0.6718
-3.0932 -10.4180 2.3269
-15.0688 3.4316 7.9648
-6.4926 -8.8722 3.9154
-11.6694 1.8858 6.3763
-12.4461 -6.7816 6.8638
-5.7160 -0.2048 3.4279
-17.7379 -4.4969 9.3695
-0.4241 -2.4895 0.9222
-9.6421 -7.8082 5.4865
-8.5200 0.8218 4.8053
```


# Pr2US5

An optimized crystal structure of Pr2US5 (GGA-PBEsol, Alexandria).

POSCAR file:
```
Pr2US5
1.0
-2.7501 -6.8711 0.2995
6.4656 -2.7551 -3.8365
5.3835 -1.7058 10.2976
Pr U S
8 4 20
Cartesian
3.6808 -5.1478 1.5589
4.3540 -1.6225 8.4882
8.6397 -7.5569 3.2902
1.5235 -8.3368 0.1840
5.4182 -6.1842 5.2018
4.7450 -9.7095 -1.7276
0.4593 -3.7751 3.4704
7.5755 -2.9952 6.5767
1.7033 -7.9155 4.3770
5.3841 -6.2972 9.4181
7.3957 -3.4165 2.3837
3.7149 -5.0348 -2.6574
3.0058 -2.2631 5.9729
2.5258 -3.7141 -0.7138
3.4160 -7.9281 2.3764
9.2504 -8.7587 5.8859
6.0932 -9.0689 0.7878
6.5732 -7.6179 7.4745
5.6830 -3.4039 4.3843
-0.1514 -2.5733 0.8747
2.8454 -2.3545 2.3083
5.0688 -4.3776 7.5081
6.2536 -8.9774 4.4524
4.0302 -6.9544 -0.7474
2.7982 -5.3028 4.3459
4.3765 -8.9375 9.6160
6.3008 -6.0292 2.4147
4.7225 -2.3945 -2.8554
3.2354 -7.4665 6.6365
0.8689 -5.8009 1.4523
5.8636 -3.8654 0.1241
8.2301 -5.5311 5.3084
```


Taking the records one at a time from the top gives formation energy (no corrections) values of -2.132; -2.145; -1.852 eV/atom.